VASP calculation (PBE) on a relaxed structure of YCr4Tc.

POSCAR file:
```
YCr4Tc
1.0
-4.951 -0.289 0.435
-2.216 1.439 4.220
-2.739 4.157 0.082
Y Cr Tc
1 4 1
direct
0.000 0.000 0.000 Y
0.872 0.376 0.376 Cr
0.376 0.376 0.872 Cr
0.376 0.872 0.376 Cr
0.376 0.376 0.376 Cr
0.750 0.750 0.750 Tc
```

Values from the calculation:
The energy relative to the elements is 0.258 eV/atom.



VASP calculation (PBE) on a relaxed structure of Y2CrTc.

POSCAR file:
```
Y2CrTc
1.0
-0.649 -1.743 -3.036
3.499 -0.407 -0.514
-0.185 -6.008 3.490
Cr Tc Y
1 1 2
direct
0.500 0.500 0.250 Cr
0.500 0.500 0.750 Tc
0.000 0.000 0.981 Y
0.000 0.000 0.519 Y
```

Values from the calculation:
The energy relative to the elements is 0.267 eV/atom. The distance to the lowest polymorph of the same formula is 118.6 meV per atom.



VASP calculation (PBE) on a relaxed structure of Y2CrTc.

POSCAR file:
```
Y2CrTc
1.0
0.000 3.500 3.500
3.500 0.000 3.500
3.500 3.500 0.000
Y Cr Tc
2 1 1
direct
0.250 0.250 0.250 Y
0.750 0.750 0.750 Y
0.000 0.000 0.000 Cr
0.500 0.500 0.500 Tc
```

Values from the calculation:
The energy relative to the elements is 0.225 eV/atom. The distance to the lowest polymorph of the same formula is 75.9 meV per atom.



VASP calculation (PBE) on a relaxed structure of YCr2Tc.

POSCAR file:
```
YCr2Tc
1.0
3.077 0.000 0.000
0.000 3.077 0.000
0.000 0.000 7.247
Cr Tc Y
2 1 1
direct
0.000 0.000 0.059 Cr
0.000 0.000 0.441 Cr
0.500 0.500 0.250 Tc
0.500 0.500 0.750 Y
```

Values from the calculation:
The energy relative to the elements is 0.322 eV/atom. The distance to the lowest polymorph of the same formula is 16.5 meV per atom.



VASP calculation (PBE) on a relaxed structure of YCr2Tc.

POSCAR file:
```
YCr2Tc
1.0
-3.737 6.466 4.421
-5.109 6.798 1.732
-6.185 4.798 3.749
Cr Tc Y
2 1 1
direct
0.986 0.986 0.986 Cr
0.514 0.514 0.514 Cr
0.250 0.250 0.250 Tc
0.750 0.750 0.750 Y
```

Values from the calculation:
The energy relative to the elements is 0.680 eV/atom. The distance to the lowest polymorph of the same formula is 374.1 meV per atom.



VASP calculation (PBE) on a relaxed structure of YCr2Tc.

POSCAR file:
```
YCr2Tc
1.0
0.000 3.145 3.145
3.145 0.000 3.145
3.145 3.145 0.000
Y Cr Tc
1 2 1
direct
0.000 0.000 0.000 Y
0.250 0.250 0.250 Cr
0.750 0.750 0.750 Cr
0.500 0.500 0.500 Tc
```

Values from the calculation:
The energy relative to the elements is 0.472 eV/atom. The distance to the lowest polymorph of the same formula is 166.3 meV per atom.



VASP calculation (PBE) on a relaxed structure of YCr2Tc.

POSCAR file:
```
YCr2Tc
1.0
-1.611 -0.210 -3.273
-0.545 -2.948 0.458
-5.677 -0.422 2.822
Cr Tc Y
2 1 1
direct
0.000 0.041 0.073 Cr
0.500 0.214 0.240 Cr
0.000 0.475 0.430 Tc
0.500 0.770 0.757 Y
```

Values from the calculation:
The energy relative to the elements is 0.377 eV/atom. The distance to the lowest polymorph of the same formula is 70.7 meV per atom.



VASP calculation (PBE) on a relaxed structure of YCr2Tc.

POSCAR file:
```
YCr2Tc
1.0
-2.993 3.789 -7.229
-4.583 1.287 -7.274
-5.512 3.605 -5.675
Cr Tc Y
2 1 1
direct
0.983 0.983 0.983 Cr
0.254 0.254 0.254 Cr
0.514 0.514 0.514 Tc
0.748 0.748 0.748 Y
```

Values from the calculation:
The energy relative to the elements is 0.597 eV/atom. The distance to the lowest polymorph of the same formula is 291.4 meV per atom.



VASP calculation (PBE) on a relaxed structure of Y2CrTc.

POSCAR file:
```
Y2CrTc
1.0
5.753 -0.012 0.000
2.726 5.066 0.000
-4.239 -2.527 2.956
Cr Tc Y
1 1 2
direct
0.500 0.500 0.000 Cr
0.750 0.250 0.500 Tc
0.000 0.000 0.000 Y
0.250 0.750 0.500 Y
```

Values from the calculation:
The energy relative to the elements is 0.437 eV/atom. The distance to the lowest polymorph of the same formula is 287.8 meV per atom.



VASP calculation (PBE) on a relaxed structure of YCr2Tc.

POSCAR file:
```
YCr2Tc
1.0
-3.941 1.355 2.992
-1.169 -2.869 -4.088
-0.554 -2.456 1.249
Cr Tc Y
2 1 1
direct
0.000 0.000 0.000 Cr
0.500 0.500 0.000 Cr
0.500 0.000 0.500 Tc
0.000 0.500 0.500 Y
```

Values from the calculation:
The energy relative to the elements is 0.608 eV/atom. The distance to the lowest polymorph of the same formula is 301.9 meV per atom.



VASP calculation (PBE) on a relaxed structure of YCr2Tc.

POSCAR file:
```
YCr2Tc
1.0
4.864 0.021 0.000
3.883 2.930 0.000
1.613 0.544 4.846
Cr Tc Y
2 1 1
direct
0.036 0.036 0.908 Cr
0.746 0.746 0.755 Cr
0.468 0.468 0.585 Tc
0.250 0.250 0.252 Y
```

Values from the calculation:
The energy relative to the elements is 0.403 eV/atom. The distance to the lowest polymorph of the same formula is 97.2 meV per atom.



VASP calculation (PBE) on a relaxed structure of Y2CrTc.

POSCAR file:
```
Y2CrTc
1.0
3.164 0.000 0.000
0.000 3.164 0.000
0.000 0.000 8.525
Cr Tc Y
1 1 2
direct
0.000 0.000 0.555 Cr
0.500 0.500 0.694 Tc
0.000 0.000 0.936 Y
0.500 0.500 0.314 Y
```

Values from the calculation:
The energy relative to the elements is 0.149 eV/atom. The distance to the lowest polymorph of the same formula is 0.0 meV per atom.



VASP calculation (PBE) on a relaxed structure of YCr2Tc.

POSCAR file:
```
YCr2Tc
1.0
5.328 0.070 0.000
2.239 4.835 0.000
-3.156 -3.420 2.595
Cr Tc Y
2 1 1
direct
0.975 0.975 0.000 Cr
0.745 0.245 0.500 Cr
0.525 0.525 0.000 Tc
0.255 0.755 0.500 Y
```

Values from the calculation:
The energy relative to the elements is 0.420 eV/atom. The distance to the lowest polymorph of the same formula is 114.5 meV per atom.



VASP calculation (PBE) on a relaxed structure of YCr2Tc.

POSCAR file:
```
YCr2Tc
1.0
4.592 0.000 0.000
0.000 3.765 0.000
0.000 0.000 3.765
Cr Tc Y
2 1 1
direct
0.000 0.000 0.000 Cr
0.000 0.500 0.500 Cr
0.500 0.500 0.000 Tc
0.500 0.000 0.500 Y
```

Values from the calculation:
The energy relative to the elements is 0.771 eV/atom. The distance to the lowest polymorph of the same formula is 464.7 meV per atom.



VASP calculation (PBE) on a relaxed structure of YCr2Tc.

POSCAR file:
```
YCr2Tc
1.0
4.457 0.000 0.000
0.000 4.457 0.000
2.229 2.229 8.234
Y Cr Tc
2 4 2
direct
0.500 0.500 0.000 Y
0.250 0.750 0.500 Y
0.875 0.125 0.250 Cr
0.875 0.625 0.250 Cr
0.375 0.125 0.750 Cr
0.875 0.125 0.750 Cr
0.000 0.000 0.000 Tc
0.750 0.250 0.500 Tc
```

Values from the calculation:
The energy relative to the elements is 0.814 eV/atom. The distance to the lowest polymorph of the same formula is 508.3 meV per atom.



VASP calculation (PBE) on a relaxed structure of YCr2Tc.

POSCAR file:
```
YCr2Tc
1.0
4.088 0.000 0.000
0.000 2.924 0.005
0.000 1.394 5.692
Cr Tc Y
2 1 1
direct
0.000 0.984 0.081 Cr
0.000 0.516 0.419 Cr
0.500 0.250 0.250 Tc
0.500 0.750 0.750 Y
```

Values from the calculation:
The energy relative to the elements is 0.377 eV/atom. The distance to the lowest polymorph of the same formula is 71.4 meV per atom.



VASP calculation (PBE) on a relaxed structure of Y2CrTc.

POSCAR file:
```
Y2CrTc
1.0
9.304 -0.003 -0.002
8.688 3.328 -0.002
8.688 1.606 2.915
Cr Tc Y
1 1 2
direct
0.250 0.250 0.250 Cr
0.750 0.750 0.750 Tc
0.007 0.007 0.007 Y
0.493 0.493 0.493 Y
```

Values from the calculation:
The energy relative to the elements is 0.535 eV/atom. The distance to the lowest polymorph of the same formula is 386.3 meV per atom.



VASP calculation (PBE) on a relaxed structure of Y2CrTc.

POSCAR file:
```
Y2CrTc
1.0
-2.458 5.336 -0.136
-4.371 3.313 -2.110
-3.837 0.617 3.086
Cr Tc Y
1 1 2
direct
0.549 0.549 0.451 Cr
0.206 0.206 0.294 Tc
0.982 0.982 0.018 Y
0.763 0.763 0.737 Y
```

Values from the calculation:
The energy relative to the elements is 0.163 eV/atom. The distance to the lowest polymorph of the same formula is 13.8 meV per atom.



VASP calculation (PBE) on a relaxed structure of YCr2Tc.

POSCAR file:
```
YCr2Tc
1.0
-1.774 1.752 1.266
-0.434 -2.642 0.804
5.709 1.053 6.544
Cr Tc Y
2 1 1
direct
0.000 0.000 0.033 Cr
0.000 0.000 0.467 Cr
0.500 0.500 0.250 Tc
0.500 0.500 0.750 Y
```

Values from the calculation:
The energy relative to the elements is 0.589 eV/atom. The distance to the lowest polymorph of the same formula is 283.1 meV per atom.



VASP calculation (PBE) on a relaxed structure of YCr2Tc.

POSCAR file:
```
YCr2Tc
1.0
4.530 0.000 0.000
0.000 4.530 0.000
0.000 0.000 3.125
Cr Tc Y
2 1 1
direct
0.000 0.000 0.000 Cr
0.500 0.500 0.000 Cr
0.500 0.000 0.500 Tc
0.000 0.500 0.500 Y
```

Values from the calculation:
The energy relative to the elements is 0.548 eV/atom. The distance to the lowest polymorph of the same formula is 241.9 meV per atom.



VASP calculation (PBE) on a relaxed structure of Y2CrTc2.

POSCAR file:
```
Y2CrTc2
1.0
-2.183 -0.320 -6.003
-4.084 -4.607 1.730
-3.334 3.344 1.034
Y Cr Tc
4 2 4
direct
0.177 0.677 0.500 Y
0.677 0.823 0.500 Y
0.823 0.323 0.500 Y
0.323 0.177 0.500 Y
0.000 0.000 0.000 Cr
0.500 0.500 0.000 Cr
0.362 0.862 0.000 Tc
0.862 0.638 0.000 Tc
0.638 0.138 0.000 Tc
0.138 0.362 0.000 Tc
```

Values from the calculation:
The energy relative to the elements is 0.145 eV/atom.



VASP calculation (PBE) on a relaxed structure of YCr2Tc.

POSCAR file:
```
YCr2Tc
1.0
-4.415 0.332 -1.066
-1.078 -2.409 3.711
2.539 3.761 0.384
Cr Tc Y
2 1 1
direct
0.000 0.000 0.000 Cr
0.250 0.750 0.500 Cr
0.500 0.500 0.000 Tc
0.750 0.250 0.500 Y
```

Values from the calculation:
The energy relative to the elements is 0.390 eV/atom. The distance to the lowest polymorph of the same formula is 84.2 meV per atom.



VASP calculation (PBE) on a relaxed structure of Y2CrTc.

POSCAR file:
```
Y2CrTc
1.0
4.886 0.000 0.000
2.443 4.232 0.000
2.443 1.411 3.990
Cr Tc Y
1 1 2
direct
0.500 0.500 0.500 Cr
0.750 0.750 0.750 Tc
0.000 0.000 0.000 Y
0.250 0.250 0.250 Y
```

Values from the calculation:
The energy relative to the elements is 0.465 eV/atom. The distance to the lowest polymorph of the same formula is 315.8 meV per atom.



VASP calculation (PBE) on a relaxed structure of YCr2Tc.

POSCAR file:
```
YCr2Tc
1.0
2.809 -0.012 0.000
-1.001 2.625 0.000
0.000 0.000 8.570
Cr Tc Y
2 1 1
direct
0.000 0.000 0.045 Cr
0.500 0.500 0.238 Cr
0.000 0.000 0.463 Tc
0.500 0.500 0.754 Y
```

Values from the calculation:
The energy relative to the elements is 0.480 eV/atom. The distance to the lowest polymorph of the same formula is 174.1 meV per atom.



VASP calculation (PBE) on a relaxed structure of ZnCrTc2.

POSCAR file:
```
ZnCrTc2
1.0
-4.917 1.002 -0.238
2.107 -1.658 -4.248
-0.981 -2.410 -0.119
Cr Tc Zn
1 2 1
direct
0.000 0.500 0.500 Cr
0.000 0.000 0.000 Tc
0.500 0.500 0.000 Tc
0.500 0.000 0.500 Zn
```

Values from the calculation:
The energy relative to the elements is 0.227 eV/atom.



VASP calculation (PBE) on a relaxed structure of ZnCrTc.

POSCAR file:
```
ZnCrTc
1.0
2.992 0.000 0.000
1.496 4.726 1.494
1.496 1.527 6.189
Tc Cr Zn
2 2 2
direct
0.649 0.267 0.434 Tc
0.351 0.733 0.566 Tc
0.003 0.233 0.760 Cr
0.997 0.767 0.240 Cr
0.328 0.259 0.084 Zn
0.672 0.741 0.916 Zn
```

Values from the calculation:
The energy relative to the elements is 0.117 eV/atom. The distance to the lowest polymorph of the same formula is 69.6 meV per atom.



VASP calculation (PBE) on a relaxed structure of ZnCr4Tc.

POSCAR file:
```
ZnCr4Tc
1.0
0.000 3.358 3.358
3.358 0.000 3.358
3.358 3.358 0.000
Zn Cr Tc
1 4 1
direct
0.000 0.000 0.000 Zn
0.877 0.374 0.374 Cr
0.374 0.374 0.877 Cr
0.374 0.877 0.374 Cr
0.374 0.374 0.374 Cr
0.750 0.750 0.750 Tc
```

Values from the calculation:
The energy relative to the elements is 0.101 eV/atom.



VASP calculation (PBE) on a relaxed structure of ZnCr3Tc.

POSCAR file:
```
ZnCr3Tc
1.0
-0.005 -4.621 -0.214
1.532 0.200 -4.360
4.365 -0.075 1.530
Cr Zn Tc
3 1 1
direct
0.000 0.500 0.000 Cr
0.000 0.000 0.500 Cr
0.500 0.000 0.000 Cr
0.500 0.500 0.500 Zn
0.000 0.000 0.000 Tc
```

Values from the calculation:
The energy relative to the elements is 1.297 eV/atom. The distance to the lowest polymorph of the same formula is 0.0 meV per atom.



VASP calculation (PBE) on a relaxed structure of ZnCrTc2.

POSCAR file:
```
ZnCrTc2
1.0
4.204 0.007 0.000
-0.021 4.204 0.000
0.000 0.000 3.075
Cr Tc Zn
1 2 1
direct
0.000 0.500 0.500 Cr
0.000 0.000 0.000 Tc
0.500 0.500 0.000 Tc
0.500 0.000 0.500 Zn
```

Values from the calculation:
The energy relative to the elements is 0.207 eV/atom.



VASP calculation (PBE) on a relaxed structure of ZnCrTc2.

POSCAR file:
```
ZnCrTc2
1.0
-2.375 1.549 4.103
-4.432 0.192 2.278
-0.616 -2.961 2.898
Cr Tc Zn
1 2 1
direct
0.260 0.260 0.239 Cr
0.989 0.989 0.011 Tc
0.742 0.742 0.758 Tc
0.508 0.508 0.492 Zn
```

Values from the calculation:
The energy relative to the elements is 0.118 eV/atom.